VASP calculation (PBE-GGA) on a geometry-optimized NaCuF3 structure.

abc: 5.4757 5.4757 5.4757
angles: 58.95 58.95 58.95
Fractional coordinates of all 10 atoms:
Na 0.0000 0.0000 0.0000
Na 0.5000 0.5000 0.5000
Cu 0.2259 0.2259 0.2259
Cu 0.7259 0.7259 0.7259
F 0.0672 0.8837 0.4657
F 0.3837 0.5672 0.9657
F 0.4657 0.0672 0.8837
F 0.5672 0.9657 0.3837
F 0.8837 0.4657 0.0672
F 0.9657 0.3837 0.5672

space-group type	R3c



VASP calculation (PBE-GGA) on a geometry-optimized MgScSnIr structure.

abc: 4.6794 4.6794 4.6794
angles: 60.00 60.00 60.00
Fractional coordinates of all 4 atoms:
Mg 0.0000 0.0000 0.0000
Sc 0.7500 0.7500 0.7500
Sn 0.5000 0.5000 0.5000
Ir 0.2500 0.2500 0.2500

space-group type	F-43m



VASP calculation (PBE-GGA) on a geometry-optimized BeTlInNi structure.

abc: 4.6139 4.6139 4.6139
angles: 60.00 60.00 60.00
Fractional coordinates of all 4 atoms:
Be 0.0000 0.0000 0.0000
Tl 0.7500 0.7500 0.7500
In 0.2500 0.2500 0.2500
Ni 0.5000 0.5000 0.5000

space-group type	F-43m



VASP calculation (PBE-GGA) on a geometry-optimized SnIrPt2 structure.

abc: 4.5539 4.5539 4.5539
angles: 60.00 60.00 60.00
Fractional coordinates of all 4 atoms:
Sn 0.0000 0.0000 0.0000
Ir 0.2500 0.2500 0.2500
Pt 0.5000 0.5000 0.5000
Pt 0.7500 0.7500 0.7500

space-group type	F-43m



VASP calculation (PBE-GGA) on a geometry-optimized NbCdPO structure.

abc: 3.8779 7.9412 5.0324
angles: 90.00 90.00 90.00
Fractional coordinates of all 8 atoms:
Nb 0.0000 0.1281 0.0000
Nb 0.0000 0.8719 0.5000
Cd 0.5000 0.4039 0.5641
Cd 0.5000 0.5961 0.0641
P 0.0000 0.1784 0.4975
P 0.0000 0.8216 0.9975
O 0.5000 0.1657 0.0011
O 0.5000 0.8343 0.5011

space-group type	Pmc2_1



VASP calculation (PBE-GGA) on a geometry-optimized InGeW4N2 structure.

abc: 2.9063 2.9063 14.8787
angles: 90.00 90.00 120.00
Fractional coordinates of all 8 atoms:
In 0.0000 0.0000 0.0000
Ge 0.3333 0.6667 0.5000
W 0.0000 0.0000 0.3562
W 0.0000 0.0000 0.6438
W 0.3333 0.6667 0.1654
W 0.3333 0.6667 0.8346
N 0.6667 0.3333 0.2600
N 0.6667 0.3333 0.7400

space-group type	P-6m2



VASP calculation (PBE-GGA) on a geometry-optimized TmGaNO structure.

abc: 4.1904 5.2338 4.8539
angles: 90.00 90.00 90.00
Fractional coordinates of all 8 atoms:
Tm 0.0000 0.2269 0.0000
Tm 0.0000 0.7731 0.5000
Ga 0.5000 0.2644 0.5145
Ga 0.5000 0.7356 0.0145
N 0.0000 0.2086 0.4906
N 0.0000 0.7914 0.9906
O 0.5000 0.3608 0.9294
O 0.5000 0.6392 0.4294

space-group type	Pmc2_1



VASP calculation (PBE-GGA) on a geometry-optimized Y2InPd structure.

abc: 5.0595 5.0595 5.0595
angles: 60.00 60.00 60.00
Fractional coordinates of all 4 atoms:
Y 0.0000 0.0000 0.0000
Y 0.2500 0.2500 0.2500
In 0.5000 0.5000 0.5000
Pd 0.7500 0.7500 0.7500

space-group type	F-43m



VASP calculation (PBE-GGA) on a geometry-optimized Ho3Nb2Re3N12 structure.

abc: 11.0258 11.0258 11.0258
angles: 109.47 109.47 109.47
Fractional coordinates of all 80 atoms:
Ho 0.1250 0.2500 0.3750
Ho 0.1250 0.3750 0.7500
Ho 0.2500 0.3750 0.1250
Ho 0.2500 0.8750 0.6250
Ho 0.3750 0.1250 0.2500
Ho 0.3750 0.7500 0.1250
Ho 0.6250 0.2500 0.8750
Ho 0.6250 0.8750 0.7500
Ho 0.7500 0.1250 0.3750
Ho 0.7500 0.6250 0.8750
Ho 0.8750 0.6250 0.2500
Ho 0.8750 0.7500 0.6250
Nb 0.0000 0.0000 0.0000
Nb 0.0000 0.0000 0.5000
Nb 0.0000 0.5000 0.0000
Nb 0.0000 0.5000 0.5000
Nb 0.5000 0.0000 0.0000
Nb 0.5000 0.0000 0.5000
Nb 0.5000 0.5000 0.0000
Nb 0.5000 0.5000 0.5000
Re 0.1250 0.7500 0.8750
Re 0.1250 0.8750 0.2500
Re 0.2500 0.1250 0.8750
Re 0.2500 0.6250 0.3750
Re 0.3750 0.2500 0.6250
Re 0.3750 0.6250 0.7500
Re 0.6250 0.3750 0.2500
Re 0.6250 0.7500 0.3750
Re 0.7500 0.3750 0.6250
Re 0.7500 0.8750 0.1250
Re 0.8750 0.1250 0.7500
Re 0.8750 0.2500 0.1250
N 0.0236 0.2089 0.1203
N 0.0236 0.3147 0.9033
N 0.0886 0.7089 0.6853
N 0.0886 0.8797 0.4033
N 0.0967 0.6203 0.4114
N 0.0967 0.9764 0.6853
N 0.1203 0.0236 0.2089
N 0.1203 0.5967 0.9114
N 0.1853 0.2089 0.5886
N 0.1853 0.4764 0.5967
N 0.2089 0.1203 0.0236
N 0.2089 0.5886 0.1853
N 0.2911 0.3147 0.9114
N 0.2911 0.4764 0.3797
N 0.3147 0.9033 0.0236
N 0.3147 0.9114 0.2911
N 0.3797 0.2911 0.4764
N 0.3797 0.5886 0.9033
N 0.4033 0.0886 0.8797
N 0.4033 0.8147 0.5236
N 0.4114 0.0967 0.6203
N 0.4114 0.8147 0.7911
N 0.4764 0.3797 0.2911
N 0.4764 0.5967 0.1853
N 0.5236 0.4033 0.8147
N 0.5236 0.6203 0.7089
N 0.5886 0.1853 0.2089
N 0.5886 0.9033 0.3797
N 0.5967 0.1853 0.4764
N 0.5967 0.9114 0.1203
N 0.6203 0.4114 0.0967
N 0.6203 0.7089 0.5236
N 0.6853 0.0886 0.7089
N 0.6853 0.0967 0.9764
N 0.7089 0.5236 0.6203
N 0.7089 0.6853 0.0886
N 0.7911 0.4114 0.8147
N 0.7911 0.8797 0.9764
N 0.8147 0.5236 0.4033
N 0.8147 0.7911 0.4114
N 0.8797 0.4033 0.0886
N 0.8797 0.9764 0.7911
N 0.9033 0.0236 0.3147
N 0.9033 0.3797 0.5886
N 0.9114 0.1203 0.5967
N 0.9114 0.2911 0.3147
N 0.9764 0.6853 0.0967
N 0.9764 0.7911 0.8797

space-group type	Ia-3d



VASP calculation (PBE-GGA) on a geometry-optimized SrHgTeO structure.

abc: 4.3142 4.3142 13.1901
angles: 90.00 90.00 120.00
Fractional coordinates of all 8 atoms:
Sr 0.3333 0.6667 0.0000
Sr 0.6667 0.3333 0.5000
Hg 0.0000 0.0000 0.2014
Hg 0.0000 0.0000 0.7014
Te 0.3333 0.6667 0.3027
Te 0.6667 0.3333 0.8027
O 0.0000 0.0000 0.0327
O 0.0000 0.0000 0.5327

space-group type	P6_3mc



VASP calculation (PBE-GGA) on a geometry-optimized Zn2SnPt structure.

abc: 4.6272 4.6272 4.6272
angles: 60.00 60.00 60.00
Fractional coordinates of all 4 atoms:
Zn 0.0000 0.0000 0.0000
Zn 0.2500 0.2500 0.2500
Sn 0.5000 0.5000 0.5000
Pt 0.7500 0.7500 0.7500

space-group type	F-43m



VASP calculation (PBE-GGA) on a geometry-optimized LuCdGaFe structure.

abc: 4.6997 4.6997 4.6997
angles: 60.00 60.00 60.00
Fractional coordinates of all 4 atoms:
Lu 0.0000 0.0000 0.0000
Cd 0.2500 0.2500 0.2500
Ga 0.5000 0.5000 0.5000
Fe 0.7500 0.7500 0.7500

space-group type	F-43m



no.,E_tot (eV per atom)
1,-4.13
2,-5.63
3,-3.11
4,-6.27
5,-6.20
6,-9.19
7,-6.72
8,-5.56
9,-9.27
10,-3.81
11,-3.23
12,-4.13